1.
TlFeSb: relaxed, PBE.

Magnetic moment (μB per atom): 0.729
Energy relative to the elements, uncorrected (eV/atom): 0.35
Density of states at the Fermi level (states/eV per cell): 7.214

Cell and atoms, written as CIF:
```
data_TlFeSb
_chemical_formula_sum 'Tl2 Fe2 Sb2'
_cell_length_a 3.265
_cell_length_b 3.265
_cell_length_c 12.828
_cell_angle_alpha 90.00
_cell_angle_beta 90.00
_cell_angle_gamma 90.00
_space_group_name_H-M_alt 'I 4 m m'
_space_group_IT_number 107
_space_group_name_Hall 'I 4 -2'
loop_
_atom_site_label
_atom_site_fract_x
_atom_site_fract_y
_atom_site_fract_z
_atom_site_occupancy
Tl1 0.000 0.000 0.000 1
Fe1 0.000 0.000 0.346 1
Sb1 0.000 0.000 0.738 1
```

=====

2.
TlFeSb2: relaxed, PBE.

Magnetic moment (μB per atom): 0.637
Energy relative to the elements, uncorrected (eV/atom): 0.40
Density of states at the Fermi level (states/eV per cell): 2.688
Polymorph energy (0 for the lowest one) (eV per atom): 0.283

Cell and atoms, written as CIF:
```
data_TlFeSb2
_chemical_formula_sum 'Tl1 Fe1 Sb2'
_cell_length_a 4.067
_cell_length_b 4.715
_cell_length_c 5.776
_cell_angle_alpha 90.00
_cell_angle_beta 110.12
_cell_angle_gamma 90.00
_space_group_name_H-M_alt 'P 1 m 1'
_space_group_IT_number 6
loop_
_space_group_symop_operation_xyz
'x,y,z'
'x,-y,z'
loop_
_atom_site_label
_atom_site_fract_x
_atom_site_fract_y
_atom_site_fract_z
_atom_site_occupancy
Tl1 0.000 0.000 0.000 1
Fe1 0.605 0.500 0.217 1
Sb1 0.276 0.500 0.563 1
Sb2 0.716 0.000 0.445 1
```

=====

3.
TlFe3Sb: relaxed, PBE.

Magnetic moment (μB per atom): 1.628
Energy relative to the elements, uncorrected (eV/atom): 1.06
Density of states at the Fermi level (states/eV per cell): 11.356
Polymorph energy (0 for the lowest one) (eV per atom): 0.000

Cell and atoms, written as CIF:
```
data_TlFe3Sb
_chemical_formula_sum 'Tl1 Fe3 Sb1'
_cell_length_a 4.844
_cell_length_b 4.844
_cell_length_c 4.844
_cell_angle_alpha 90.00
_cell_angle_beta 90.00
_cell_angle_gamma 90.00
_space_group_name_H-M_alt 'P m -3 m'
_space_group_IT_number 221
_space_group_name_Hall '-P 4 2 3'
loop_
_atom_site_label
_atom_site_fract_x
_atom_site_fract_y
_atom_site_fract_z
_atom_site_occupancy
Tl1 0.000 0.000 0.000 1
Fe1 0.000 0.500 0.500 1
Sb1 0.500 0.500 0.500 1
```

=====

4.
TlFe2Sb: relaxed, PBE.

Magnetic moment (μB per atom): 1.128
Energy relative to the elements, uncorrected (eV/atom): 0.33
Density of states at the Fermi level (states/eV per cell): 7.039
Polymorph energy (0 for the lowest one) (eV per atom): 0.082

Cell and atoms, written as CIF:
```
data_TlFe2Sb
_chemical_formula_sum 'Tl2 Fe4 Sb2'
_cell_length_a 4.041
_cell_length_b 3.605
_cell_length_c 10.072
_cell_angle_alpha 90.00
_cell_angle_beta 90.00
_cell_angle_gamma 90.00
_space_group_name_H-M_alt 'A m m 2'
_space_group_IT_number 38
loop_
_space_group_symop_operation_xyz
'x,y,z'
'-x,-y,z'
'-x,y,z'
'x,-y,z'
'x,y+1/2,z+1/2'
'-x,-y+1/2,z+1/2'
'-x,y+1/2,z+1/2'
'x,-y+1/2,z+1/2'
loop_
_atom_site_label
_atom_site_fract_x
_atom_site_fract_y
_atom_site_fract_z
_atom_site_occupancy
Tl1 0.000 0.000 0.000 1
Fe1 0.000 0.000 0.721 1
Fe2 0.500 0.000 0.586 1
Sb1 0.500 0.000 0.292 1
```

=====

5.
TlFeSb2: relaxed, PBE.

Magnetic moment (μB per atom): 0.396
Energy relative to the elements, uncorrected (eV/atom): 0.15
Density of states at the Fermi level (states/eV per cell): 6.040
Polymorph energy (0 for the lowest one) (eV per atom): 0.029

Cell and atoms, written as CIF:
```
data_TlFeSb2
_chemical_formula_sum 'Tl2 Fe2 Sb4'
_cell_length_a 3.248
_cell_length_b 3.376
_cell_length_c 18.173
_cell_angle_alpha 90.00
_cell_angle_beta 90.00
_cell_angle_gamma 90.00
_space_group_name_H-M_alt 'I m m 2'
_space_group_IT_number 44
loop_
_space_group_symop_operation_xyz
'x,y,z'
'-x,-y,z'
'-x,y,z'
'x,-y,z'
'x+1/2,y+1/2,z+1/2'
'-x+1/2,-y+1/2,z+1/2'
'-x+1/2,y+1/2,z+1/2'
'x+1/2,-y+1/2,z+1/2'
loop_
_atom_site_label
_atom_site_fract_x
_atom_site_fract_y
_atom_site_fract_z
_atom_site_occupancy
Tl1 0.000 0.000 0.000 1
Fe1 0.000 0.500 0.267 1
Sb1 0.000 0.000 0.655 1
Sb2 0.000 0.500 0.835 1
```

=====

6.
TlFeSb2: relaxed, PBE.

Magnetic moment (μB per atom): 0.737
Energy relative to the elements, uncorrected (eV/atom): 0.58
Density of states at the Fermi level (states/eV per cell): 10.440
Polymorph energy (0 for the lowest one) (eV per atom): 0.466

Cell and atoms, written as CIF:
```
data_TlFeSb2
_chemical_formula_sum 'Tl2 Fe2 Sb4'
_cell_length_a 4.378
_cell_length_b 4.378
_cell_length_c 10.148
_cell_angle_alpha 90.00
_cell_angle_beta 90.00
_cell_angle_gamma 90.00
_space_group_name_H-M_alt 'I -4 m 2'
_space_group_IT_number 119
_space_group_name_Hall 'I -4 -2'
loop_
_atom_site_label
_atom_site_fract_x
_atom_site_fract_y
_atom_site_fract_z
_atom_site_occupancy
Tl1 0.000 0.000 0.000 1
Fe1 0.000 0.500 0.750 1
Sb1 0.000 0.000 0.500 1
Sb2 0.000 0.500 0.250 1
```

=====

7.
TlFe2Sb: relaxed, PBE.

Magnetic moment (μB per atom): 1.099
Energy relative to the elements, uncorrected (eV/atom): 0.40
Density of states at the Fermi level (states/eV per cell): 5.756
Polymorph energy (0 for the lowest one) (eV per atom): 0.148

Cell and atoms, written as CIF:
```
data_TlFe2Sb
_chemical_formula_sum 'Tl2 Fe4 Sb2'
_cell_length_a 8.912
_cell_length_b 3.142
_cell_length_c 7.025
_cell_angle_alpha 90.00
_cell_angle_beta 120.04
_cell_angle_gamma 90.00
_space_group_name_H-M_alt 'C 1 2/m 1'
_space_group_IT_number 12
loop_
_space_group_symop_operation_xyz
'x,y,z'
'-x,-y,-z'
'-x,y,-z'
'x,-y,z'
'x+1/2,y+1/2,z'
'-x+1/2,-y+1/2,-z'
'-x+1/2,y+1/2,-z'
'x+1/2,-y+1/2,z'
loop_
_atom_site_label
_atom_site_fract_x
_atom_site_fract_y
_atom_site_fract_z
_atom_site_occupancy
Tl1 0.000 0.000 0.000 1
Fe1 0.224 0.500 0.357 1
Sb1 0.000 0.500 0.500 1
```

=====

8.
TlFeSb2: relaxed, PBE.

Magnetic moment (μB per atom): 0.547
Energy relative to the elements, uncorrected (eV/atom): 0.27
Density of states at the Fermi level (states/eV per cell): 5.804
Polymorph energy (0 for the lowest one) (eV per atom): 0.151

Cell and atoms, written as CIF:
```
data_TlFeSb2
_chemical_formula_sum 'Tl2 Fe2 Sb4'
_cell_length_a 3.204
_cell_length_b 5.006
_cell_length_c 12.131
_cell_angle_alpha 90.00
_cell_angle_beta 90.00
_cell_angle_gamma 90.00
_space_group_name_H-M_alt 'I m m m'
_space_group_IT_number 71
_space_group_name_Hall '-I 2 2'
loop_
_atom_site_label
_atom_site_fract_x
_atom_site_fract_y
_atom_site_fract_z
_atom_site_occupancy
Tl1 0.000 0.000 0.000 1
Fe1 0.000 0.000 0.500 1
Sb1 0.000 0.500 0.177 1
```

=====

9.
TlFe2Sb: relaxed, PBE.

Magnetic moment (μB per atom): 1.112
Energy relative to the elements, uncorrected (eV/atom): 0.57
Density of states at the Fermi level (states/eV per cell): 5.058
Polymorph energy (0 for the lowest one) (eV per atom): 0.316

Cell and atoms, written as CIF:
```
data_TlFe2Sb
_chemical_formula_sum 'Tl1 Fe2 Sb1'
_cell_length_a 4.623
_cell_length_b 4.623
_cell_length_c 3.280
_cell_angle_alpha 90.00
_cell_angle_beta 90.00
_cell_angle_gamma 90.00
_space_group_name_H-M_alt 'P 4/m m m'
_space_group_IT_number 123
_space_group_name_Hall '-P 4 2'
loop_
_atom_site_label
_atom_site_fract_x
_atom_site_fract_y
_atom_site_fract_z
_atom_site_occupancy
Tl1 0.000 0.000 0.000 1
Fe1 0.000 0.500 0.500 1
Sb1 0.500 0.500 0.000 1
```

=====

10.
TlFeSb2: relaxed, PBE.

Magnetic moment (μB per atom): 0.728
Energy relative to the elements, uncorrected (eV/atom): 0.56
Density of states at the Fermi level (states/eV per cell): 8.729
Polymorph energy (0 for the lowest one) (eV per atom): 0.438

Cell and atoms, written as CIF:
```
data_TlFeSb2
_chemical_formula_sum 'Tl2 Fe2 Sb4'
_cell_length_a 6.216
_cell_length_b 8.365
_cell_length_c 3.740
_cell_angle_alpha 90.00
_cell_angle_beta 90.00
_cell_angle_gamma 90.00
_space_group_name_H-M_alt 'C m m m'
_space_group_IT_number 65
_space_group_name_Hall '-C 2 2'
loop_
_atom_site_label
_atom_site_fract_x
_atom_site_fract_y
_atom_site_fract_z
_atom_site_occupancy
Tl1 0.000 0.000 0.000 1
Fe1 0.000 0.500 0.000 1
Sb1 0.250 0.250 0.500 1
```

=====

11.
TlFeSb2: relaxed, PBE.

Magnetic moment (μB per atom): 0.735
Energy relative to the elements, uncorrected (eV/atom): 0.64
Density of states at the Fermi level (states/eV per cell): 28.635
Polymorph energy (0 for the lowest one) (eV per atom): 0.519

Cell and atoms, written as CIF:
```
data_TlFeSb2
_chemical_formula_sum 'Tl4 Fe4 Sb8'
_cell_length_a 7.318
_cell_length_b 7.318
_cell_length_c 7.318
_cell_angle_alpha 90.00
_cell_angle_beta 90.00
_cell_angle_gamma 90.00
_space_group_name_H-M_alt 'F -4 3 m'
_space_group_IT_number 216
_space_group_name_Hall 'F -4 2 3'
loop_
_atom_site_label
_atom_site_fract_x
_atom_site_fract_y
_atom_site_fract_z
_atom_site_occupancy
Tl1 0.000 0.000 0.000 1
Fe1 0.250 0.250 0.750 1
Sb1 0.000 0.000 0.500 1
Sb2 0.250 0.250 0.250 1
```

=====

12.
TlFe2Sb: relaxed, PBE.

Magnetic moment (μB per atom): 1.162
Energy relative to the elements, uncorrected (eV/atom): 0.46
Density of states at the Fermi level (states/eV per cell): 3.814
Polymorph energy (0 for the lowest one) (eV per atom): 0.208

Cell and atoms, written as CIF:
```
data_TlFe2Sb
_chemical_formula_sum 'Tl1 Fe2 Sb1'
_cell_length_a 3.560
_cell_length_b 3.276
_cell_length_c 6.902
_cell_angle_alpha 90.00
_cell_angle_beta 103.86
_cell_angle_gamma 90.00
_space_group_name_H-M_alt 'P 1 2/m 1'
_space_group_IT_number 10
loop_
_space_group_symop_operation_xyz
'x,y,z'
'-x,-y,-z'
'-x,y,-z'
'x,-y,z'
loop_
_atom_site_label
_atom_site_fract_x
_atom_site_fract_y
_atom_site_fract_z
_atom_site_occupancy
Tl1 0.000 0.000 0.000 1
Fe1 0.095 0.500 0.681 1
Sb1 0.500 0.000 0.500 1
```

=====

- Which value of density of states at the Fermi level does entry 8 give?
  5.804 states/eV per cell

=====

- Among the records above, which one has the lowest magnetic moment?
  number 5

=====

Copy entry 10 word for word.
TlFeSb2: relaxed, PBE.

Magnetic moment (μB per atom): 0.728
Energy relative to the elements, uncorrected (eV/atom): 0.56
Density of states at the Fermi level (states/eV per cell): 8.729
Polymorph energy (0 for the lowest one) (eV per atom): 0.438

Cell and atoms, written as CIF:
```
data_TlFeSb2
_chemical_formula_sum 'Tl2 Fe2 Sb4'
_cell_length_a 6.216
_cell_length_b 8.365
_cell_length_c 3.740
_cell_angle_alpha 90.00
_cell_angle_beta 90.00
_cell_angle_gamma 90.00
_space_group_name_H-M_alt 'C m m m'
_space_group_IT_number 65
_space_group_name_Hall '-C 2 2'
loop_
_atom_site_label
_atom_site_fract_x
_atom_site_fract_y
_atom_site_fract_z
_atom_site_occupancy
Tl1 0.000 0.000 0.000 1
Fe1 0.000 0.500 0.000 1
Sb1 0.250 0.250 0.500 1
```